(1)
First-principles (PBE) data for a geometry-optimized Pm2HoTh3As6 structure, as listed in Alexandria via LeMat-Bulk.

Geometry as CIF:
```
data_Pm2HoTh3As6
_chemical_formula_sum 'Pm4 Ho2 Th6 As12'
_space_group_name_H-M_alt 'C 1 2/m 1'
_space_group_IT_number 12
_cell_length_a 18.404
_cell_length_b 4.232
_cell_length_c 8.427
_cell_angle_alpha 90.00
_cell_angle_beta 103.03
_cell_angle_gamma 90.00
loop_
_space_group_symop_operation_xyz
'x,y,z'
'-x,-y,-z'
'-x,y,-z'
'x,-y,z'
'x+1/2,y+1/2,z'
'-x+1/2,-y+1/2,-z'
'-x+1/2,y+1/2,-z'
'x+1/2,-y+1/2,z'
loop_
_atom_site_label
_atom_site_type_symbol
_atom_site_fract_x
_atom_site_fract_y
_atom_site_fract_z
Pm1 Pm 0.166 0.000 0.333
Ho1 Ho 0.000 0.500 0.000
Th1 Th 0.000 0.500 0.500
Th2 Th 0.167 0.000 0.834
As1 As 0.000 0.000 0.244
As2 As 0.164 0.500 0.082
As3 As 0.166 0.500 0.584
```

Output
**Raw total energy**: -163.79 eV for the cell shown
**Energy of formation**: -1.472 eV per atom
**DOS at the Fermi energy**: 5.4 states/eV/f.u.
**V**: 319.72 Å³/f.u.

(2)
First-principles (PBE) data for a geometry-optimized PmHo2TmAs4 structure, as listed in Alexandria via LeMat-Bulk.

Geometry as CIF:
```
data_PmHo2TmAs4
_chemical_formula_sum 'Pm1 Ho2 Tm1 As4'
_space_group_name_H-M_alt 'P 1 2/m 1'
_space_group_IT_number 10
_cell_length_a 7.146
_cell_length_b 4.129
_cell_length_c 7.147
_cell_angle_alpha 90.00
_cell_angle_beta 109.47
_cell_angle_gamma 90.00
loop_
_space_group_symop_operation_xyz
'x,y,z'
'-x,-y,-z'
'-x,y,-z'
'x,-y,z'
loop_
_atom_site_label
_atom_site_type_symbol
_atom_site_fract_x
_atom_site_fract_y
_atom_site_fract_z
Pm1 Pm 0.000 0.000 0.000
Ho1 Ho 0.000 0.500 0.500
Ho2 Ho 0.500 0.000 0.500
Tm1 Tm 0.500 0.500 0.000
As1 As 0.254 0.000 0.749
As2 As 0.257 0.500 0.255
```

Output
**Raw total energy**: -49.09 eV for the cell shown
**Energy of formation**: -1.514 eV per atom
**DOS at the Fermi energy**: 0.9 states/eV/f.u.
**V**: 198.82 Å³/f.u.

(3)
First-principles (PBE) data for a geometry-optimized Pm2HoTm3As6 structure, as listed in Alexandria via LeMat-Bulk.

Geometry as CIF:
```
data_Pm2HoTm3As6
_chemical_formula_sum 'Pm4 Ho2 Tm6 As12'
_space_group_name_H-M_alt 'C 1 2/m 1'
_space_group_IT_number 12
_cell_length_a 17.990
_cell_length_b 4.131
_cell_length_c 8.254
_cell_angle_alpha 90.00
_cell_angle_beta 103.20
_cell_angle_gamma 90.00
loop_
_space_group_symop_operation_xyz
'x,y,z'
'-x,-y,-z'
'-x,y,-z'
'x,-y,z'
'x+1/2,y+1/2,z'
'-x+1/2,-y+1/2,-z'
'-x+1/2,y+1/2,-z'
'x+1/2,-y+1/2,z'
loop_
_atom_site_label
_atom_site_type_symbol
_atom_site_fract_x
_atom_site_fract_y
_atom_site_fract_z
Pm1 Pm 0.166 0.000 0.332
Ho1 Ho 0.000 0.500 0.000
Tm1 Tm 0.000 0.500 0.500
Tm2 Tm 0.167 0.000 0.834
As1 As 0.003 0.000 0.750
As2 As 0.164 0.500 0.589
As3 As 0.167 0.500 0.076
```

Output
**Raw total energy**: -146.98 eV for the cell shown
**Energy of formation**: -1.508 eV per atom
**DOS at the Fermi energy**: 1.8 states/eV/f.u.
**V**: 298.61 Å³/f.u.

(4)
First-principles (PBE) data for a geometry-optimized Pm2HoTmAs4 structure, as listed in Alexandria via LeMat-Bulk.

Geometry as CIF:
```
data_Pm2HoTmAs4
_chemical_formula_sum 'Pm2 Ho1 Tm1 As4'
_space_group_name_H-M_alt 'P 1 2/m 1'
_space_group_IT_number 10
_cell_length_a 7.201
_cell_length_b 4.164
_cell_length_c 7.208
_cell_angle_alpha 90.00
_cell_angle_beta 109.49
_cell_angle_gamma 90.00
loop_
_space_group_symop_operation_xyz
'x,y,z'
'-x,-y,-z'
'-x,y,-z'
'x,-y,z'
loop_
_atom_site_label
_atom_site_type_symbol
_atom_site_fract_x
_atom_site_fract_y
_atom_site_fract_z
Pm1 Pm 0.000 0.000 0.000
Pm2 Pm 0.000 0.500 0.500
Ho1 Ho 0.500 0.000 0.500
Tm1 Tm 0.500 0.500 0.000
As1 As 0.259 0.500 0.252
As2 As 0.260 0.000 0.754
```

Output
**Raw total energy**: -49.28 eV for the cell shown
**Energy of formation**: -1.516 eV per atom
**DOS at the Fermi energy**: 0.9 states/eV/f.u.
**V**: 203.76 Å³/f.u.